{"formula": "AsPdCl3", "functional": "GGA-PBEsol", "state": "optimized geometry", "cell": [[-3.5653, 3.3404, -0.1111], [-2.7582, -2.8489, 2.8562], [1.8876, 2.1465, 3.9638]], "species": ["As", "Pd", "Cl", "Cl", "Cl"], "frac_coords": [[0.0000, 0.0000, 0.0000], [0.5000, 0.5000, 0.5000], [0.0000, 0.5000, 0.0000], [0.0000, 0.0000, 0.5000], [0.5000, 0.0000, 0.0000]], "e_form_raw_mev_per_atom": 210}

***

{"formula": "HfCuBr2O", "functional": "GGA-PBEsol", "state": "optimized geometry", "cell": [[3.8974, 0.0000, 0.0000], [0.0000, 5.2699, 0.0000], [0.0000, 0.0000, 5.2699]], "species": ["O", "Hf", "Cu", "Br", "Br"], "frac_coords": [[0.5000, 0.0000, 0.0000], [0.0000, 0.0000, 0.0000], [0.5000, 0.5000, 0.5000], [0.0000, 0.0000, 0.5000], [0.0000, 0.5000, 0.0000]], "e_form_raw_mev_per_atom": -912}

***

{"formula": "MgZr2Mo", "functional": "GGA-PBEsol", "state": "optimized geometry", "cell": [[-1.6917, -2.8049, -1.2884], [1.3996, -2.5284, 3.6668], [-3.8475, 1.2500, 2.3305]], "species": ["Mo", "Mg", "Zr", "Zr"], "frac_coords": [[0.5000, 0.0000, 0.0000], [0.5000, 0.5000, 0.5000], [0.0000, 0.0000, 0.5000], [0.0000, 0.5000, 0.0000]], "polymorph_energy_mev_per_atom": 46, "e_form_kcal_per_mol_atoms": 2.415}

***

{"formula": "CsTa2ZnCr", "functional": "GGA-PBEsol", "state": "optimized geometry", "cell": [[4.8829, 0.0000, 0.0000], [0.0000, 4.8829, 0.0000], [0.0000, 0.0000, 4.8808]], "species": ["Cs", "Cr", "Zn", "Ta", "Ta"], "frac_coords": [[0.5000, 0.5000, 0.5000], [0.0000, 0.0000, 0.5000], [0.0000, 0.0000, 0.0000], [0.0000, 0.5000, 0.0000], [0.5000, 0.0000, 0.0000]], "e_form_kcal_per_mol_atoms": 44.238}

***

{"formula": "HfScTc2", "functional": "GGA-PBEsol", "state": "optimized geometry", "cell": [[4.5350, 0.0000, 0.0000], [2.2675, 3.9275, 0.0000], [2.2675, 1.3092, 3.7028]], "species": ["Sc", "Hf", "Tc", "Tc"], "frac_coords": [[0.0000, 0.0000, 0.0000], [0.5000, 0.5000, 0.5000], [0.2500, 0.2500, 0.2500], [0.7500, 0.7500, 0.7500]], "e_form_kcal_per_mol_atoms": -5.538}

***

{"formula": "SbMoPb2", "functional": "GGA-PBEsol", "state": "optimized geometry", "cell": [[-0.8953, 2.9481, -0.0276], [0.1809, -0.6801, -2.9997], [-9.9886, -3.0325, 0.0854]], "species": ["Mo", "Pb", "Pb", "Sb"], "frac_coords": [[0.5000, 0.5000, 0.0000], [0.0000, 0.0000, 0.2111], [0.0000, 0.0000, 0.7889], [0.5000, 0.5000, 0.5000]], "e_form_raw_mev_per_atom": 578}

***

{"formula": "YGeW3", "functional": "GGA-PBEsol", "state": "optimized geometry", "cell": [[-3.7130, 1.9388, -2.0280], [-2.7741, -2.0337, 3.1348], [0.4197, 3.7099, 2.7782]], "species": ["Y", "Ge", "W", "W", "W"], "frac_coords": [[0.5000, 0.5000, 0.5000], [0.0000, 0.0000, 0.0000], [0.0000, 0.5000, 0.0000], [0.0000, 0.0000, 0.5000], [0.5000, 0.0000, 0.0000]], "e_form_kcal_per_mol_atoms": 28.733}

***

{"formula": "RbHRh2S", "functional": "GGA-PBEsol", "state": "optimized geometry", "cell": [[3.4228, 0.0000, 0.0000], [0.0000, 4.8759, 0.0000], [0.0000, 0.0000, 4.8759]], "species": ["H", "S", "Rh", "Rh", "Rb"], "frac_coords": [[0.5000, 0.0000, 0.0000], [0.5000, 0.5000, 0.5000], [0.0000, 0.0000, 0.5000], [0.0000, 0.5000, 0.0000], [0.0000, 0.0000, 0.0000]], "final_energy_ev_per_atom": -3.09}

***

{"formula": "CaZnAu2", "functional": "GGA-PBEsol", "state": "optimized geometry", "cell": [[-0.3522, 0.5180, -3.4405], [4.5584, -0.9486, -0.6095], [-1.1084, -4.9229, -0.6278]], "species": ["Zn", "Au", "Au", "Ca"], "frac_coords": [[0.0000, 0.5000, 0.2251], [0.0000, 0.0000, 0.0278], [0.0000, 0.5000, 0.7210], [0.5000, 0.0000, 0.5261]], "e_form_kcal_per_mol_atoms": -10.689}

***

{"formula": "DyNiO3", "functional": "GGA-PBEsol", "state": "optimized geometry", "cell": [[-3.0518, 2.7046, 3.0836], [-3.9241, -3.8146, -0.5379], [2.6739, -3.5646, 5.7728]], "species": ["Dy", "Dy", "Dy", "Dy", "Ni", "Ni", "Ni", "Ni", "O", "O", "O", "O", "O", "O", "O", "O", "O", "O", "O", "O"], "frac_coords": [[0.0215, 0.9233, 0.7500], [0.5215, 0.5767, 0.2500], [0.4785, 0.4233, 0.7500], [0.9785, 0.0767, 0.2500], [0.5000, 0.0000, 0.5000], [0.0000, 0.5000, 0.5000], [0.0000, 0.5000, 0.0000], [0.5000, 0.0000, 0.0000], [0.6935, 0.3020, 0.4515], [0.1935, 0.1980, 0.5485], [0.8065, 0.8020, 0.0485], [0.3065, 0.6980, 0.9515], [0.3065, 0.6980, 0.5485], [0.8065, 0.8020, 0.4515], [0.1935, 0.1980, 0.9515], [0.6935, 0.3020, 0.0485], [0.0987, 0.4736, 0.2500], [0.5987, 0.0264, 0.7500], [0.4013, 0.9736, 0.2500], [0.9013, 0.5264, 0.7500]], "e_form_raw_mev_per_atom": -2269}

***

{"formula": "NaSn2As2", "functional": "GGA-PBEsol", "state": "optimized geometry", "cell": [[-0.9647, 1.5115, -3.5741], [0.7010, -2.1149, -3.3205], [-8.3862, -3.9675, -1.6511]], "species": ["Na", "As", "As", "Sn", "Sn"], "frac_coords": [[0.0000, 0.0000, 0.0000], [0.4068, 0.4068, 0.7795], [0.5932, 0.5932, 0.2205], [0.2100, 0.2100, 0.3701], [0.7900, 0.7900, 0.6299]], "polymorph_energy_mev_per_atom": 0, "e_form_kcal_per_mol_atoms": -5.581}

***

{"formula": "SrCa2P", "functional": "GGA-PBEsol", "state": "optimized geometry", "cell": [[-5.4118, -0.5086, -0.4034], [-2.4805, -4.4135, 2.0192], [-3.1164, 0.4225, 4.4519]], "species": ["Ca", "Ca", "P", "Sr"], "frac_coords": [[0.0000, 0.0000, 0.0000], [0.7500, 0.7500, 0.7500], [0.5000, 0.5000, 0.5000], [0.2500, 0.2500, 0.2500]], "e_form_kcal_per_mol_atoms": -1.682}